# BaTiTl2Bi

A relaxed structure of BaTiTl2Bi (PBE, Alexandria).

Calculated values
The calculation puts the uncorrected energy at -3.924 eV/atom. The volume is 165.3 Å³/f.u.

Geometry as CIF:
```
data_BaTiTl2Bi
_symmetry_space_group_name_H-M 'P 4/m m m'
_symmetry_Int_Tables_number 123
_symmetry_space_group_name_Hall '-P 4 2'
_cell_length_a 5.501
_cell_length_b 5.501
_cell_length_c 5.464
_cell_angle_alpha 90.00
_cell_angle_beta 90.00
_cell_angle_gamma 90.00
loop_
_atom_site_label
_atom_site_fract_x
_atom_site_fract_y
_atom_site_fract_z
Ba1 0.000 0.000 0.000
Ti1 0.500 0.500 0.500
Tl1 0.000 0.500 0.500
Bi1 0.500 0.500 0.000
```

# Sm3Sn2Rh2

A relaxed structure of Sm3Sn2Rh2 (PBE, Alexandria).

Calculated values
The calculation puts the uncorrected energy at -6.091 eV/atom. The volume is 169.5 Å³/f.u.

Geometry as CIF:
```
data_Sm3Sn2Rh2
_symmetry_space_group_name_H-M 'P b c m'
_symmetry_Int_Tables_number 57
_symmetry_space_group_name_Hall '-P 2c 2b'
_cell_length_a 5.895
_cell_length_b 8.296
_cell_length_c 13.859
_cell_angle_alpha 90.00
_cell_angle_beta 90.00
_cell_angle_gamma 90.00
loop_
_atom_site_label
_atom_site_fract_x
_atom_site_fract_y
_atom_site_fract_z
Sm1 0.124 0.242 0.250
Sm2 0.335 0.604 0.094
Sn1 0.174 0.250 0.000
Sn2 0.381 0.607 0.750
Rh1 0.121 0.545 0.593
```

# Co2HgTe

A relaxed structure of Co2HgTe (PBE, Alexandria).

Calculated values
The value obtained for the relative energy among the computed polymorphs is 0.0000 eV per atom. The volume is 80.6 Å³/f.u. The calculation puts the uncorrected formation energy at 27 kJ per mole of atoms.

Geometry as CIF:
```
data_Co2HgTe
_symmetry_space_group_name_H-M 'R 3 m'
_symmetry_Int_Tables_number 160
_symmetry_space_group_name_Hall 'R 3 -2"'
_cell_length_a 3.9010
_cell_length_b 3.9010
_cell_length_c 18.3418
_cell_angle_alpha 90.00
_cell_angle_beta 90.00
_cell_angle_gamma 120.00
loop_
_atom_site_label
_atom_site_fract_x
_atom_site_fract_y
_atom_site_fract_z
Co1 0.0000 0.0000 0.0000
Co2 0.0000 0.0000 0.3033
Hg1 0.0000 0.0000 0.5454
Te1 0.0000 0.0000 0.7354
```